Below is crystalline VPdNO2 at its relaxed geometry, with properties calculated at the GGA+U level.

Summary:
DFT total energy = -0.2341 hartree per atom
N(E_F) = 3.45 states/eV/f.u.
total magnetization = 0.00 μB per cell
space-group type = P4/mmm, No. 123

Lattice parameters (Å, degrees): 3.6813 3.6813 4.0644 90.00 90.00 90.00
Positions (direct):
V (0.0000, 0.0000, 0.0000)
Pd (0.5000, 0.5000, 0.5000)
N (0.0000, 0.0000, 0.5000)
O (0.0000, 0.5000, 0.0000)
O (0.5000, 0.0000, 0.0000)